DFT (PBE) results for a relaxed structure of TaMnBr2. Values from VASP.

Structure (Quantum ESPRESSO input):
```
&SYSTEM
  ibrav = 0, nat = 8, ntyp = 3
/
ATOMIC_SPECIES
Ta 180.95 Ta.upf
Br 79.90 Br.upf
Mn 54.94 Mn.upf
CELL_PARAMETERS angstrom
5.816 0.000 0.000
0.000 5.816 0.000
2.908 2.908 5.077
ATOMIC_POSITIONS angstrom
Ta 0.000 0.000 0.000
Br 7.270 7.061 3.807
Ta 5.816 2.908 2.538
Br 4.153 1.454 1.269
Br 4.362 4.571 3.807
Br 1.663 4.362 1.269
Mn 2.908 2.908 0.000
Mn 2.908 5.816 2.538
```

Output
The calculation puts the volume at 171.7 Å³/cell. Its symmetry is I-42d (122). The raw formation energy is 1.11 eV per atom. The energy relative to the lowest polymorph listed for this composition comes out at 1286 meV/atom.